A PBEsol-optimized structure of SrInTe2. Source: Alexandria, functional SCAN.

```
4
Lattice="-4.090 -0.034 -1.378 1.429 -0.689 -4.225 1.772 -6.510 1.662" Properties=species:S:1:pos:R:3 pbc="T T T"
Te 0.384 -3.871 -1.045
In 0.269 -6.650 -0.633
Te 1.242 -0.803 -3.668
Sr -0.914 -3.469 -3.960
```

=====

A PBEsol-optimized structure of Sr2InTe. Source: Alexandria, functional SCAN.

ΔE to the lowest computed polymorph (meV/atom): 0

```
4
Lattice="4.156 0.000 0.000 0.000 5.352 0.015 -2.078 -1.263 6.127" Properties=species:S:1:pos:R:3 pbc="T T T"
Sr 0.000 2.655 3.111
Te 2.078 3.441 0.344
Sr 2.078 -0.541 6.062
In 2.078 -0.051 2.759
```

=====

A PBEsol-optimized structure of SrInTe2. Source: Alexandria, functional SCAN.

```
4
Lattice="-0.703 4.019 1.087 -3.712 0.398 -3.874 -3.067 -1.645 4.102" Properties=species:S:1:pos:R:3 pbc="T T T"
In -3.741 1.386 0.658
Te -1.534 -0.823 2.051
Sr -0.351 2.010 0.543
Te -1.856 0.199 -1.937
```

=====

A PBEsol-optimized structure of SrInTe2. Source: Alexandria, functional SCAN.

```
4
Lattice="-0.740 2.052 -3.962 -3.789 -2.409 -0.540 -3.371 4.624 3.025" Properties=species:S:1:pos:R:3 pbc="T T T"
Sr -5.211 3.863 0.393
Te -2.949 4.045 2.646
In -1.271 1.744 1.141
Te -3.526 1.551 -1.119
```

=====

A PBEsol-optimized structure of SrInTe. Source: Alexandria, functional SCAN.

```
3
Lattice="4.007 0.000 0.000 0.000 4.007 0.000 -2.003 -2.003 5.671" Properties=species:S:1:pos:R:3 pbc="T T T"
Sr 2.003 2.003 1.975
Te 0.000 0.000 3.878
In 2.003 2.003 5.489
```

=====

A PBEsol-optimized structure of Sr3TiIn. Source: Alexandria, functional SCAN.

Formation enthalpy at 0 K (eV/atom): 0.665

```
5
Lattice="-3.308 -2.075 -4.466 -4.059 -1.898 3.889 -2.789 5.224 -0.361" Properties=species:S:1:pos:R:3 pbc="T T T"
Sr -2.030 -0.949 1.944
Ti 0.000 0.000 0.000
Sr -1.395 2.612 -0.181
In -5.078 0.625 -0.470
Sr -1.654 -1.038 -2.233
```

=====

A PBEsol-optimized structure of SrTl2In2. Source: Alexandria, functional SCAN.

Formation enthalpy at 0 K (eV/atom): -0.282

```
5
Lattice="4.689 0.000 0.000 0.000 4.689 0.000 -2.344 -2.344 6.720" Properties=species:S:1:pos:R:3 pbc="T T T"
Tl 2.344 2.344 1.465
Sr 0.000 0.000 0.000
Tl 0.000 0.000 5.254
In 2.344 0.000 3.360
In 0.000 2.344 3.360
```

=====

A PBEsol-optimized structure of SrTlIn. Source: Alexandria, functional SCAN.

Formation enthalpy at 0 K (eV/atom): -0.515

```
3
Lattice="3.973 0.000 0.000 0.000 5.079 0.000 0.000 -2.539 4.399" Properties=species:S:1:pos:R:3 pbc="T T T"
Tl 0.916 0.000 2.932
In 0.432 0.000 0.000
Sr 2.625 2.539 1.466
```

=====

A PBEsol-optimized structure of Sr2Tl2In. Source: Alexandria, functional SCAN.

Formation enthalpy at 0 K (eV/atom): -0.484

```
10
Lattice="-4.200 -1.796 2.238 0.471 -6.569 -4.388 4.440 -3.416 5.590" Properties=species:S:1:pos:R:3 pbc="T T T"
Sr -0.258 -7.449 -0.682
In 0.000 0.000 0.000
Tl 3.223 -7.855 -0.257
Sr -1.178 -3.638 0.650
Tl 4.018 -5.363 3.235
Sr 1.889 -8.144 2.790
Tl 1.688 -2.130 1.458
In 2.456 -4.993 0.601
Sr 0.969 -4.333 4.122
Tl 0.893 -4.622 -2.033
```

=====

A PBEsol-optimized structure of SrTlIn2. Source: Alexandria, functional SCAN.

Formation enthalpy at 0 K (eV/atom): -0.330

```
4
Lattice="-4.807 0.040 0.955 0.198 -4.749 1.195 3.191 3.502 3.338" Properties=species:S:1:pos:R:3 pbc="T T T"
In 0.000 0.000 0.000
Tl 0.542 -1.801 2.804
Sr -2.305 -2.355 1.075
In -1.961 0.594 2.684
```

=====

A PBEsol-optimized structure of SrTlIn2. Source: Alexandria, functional SCAN.

Formation enthalpy at 0 K (eV/atom): -0.071

```
4
Lattice="3.715 0.000 0.000 1.857 3.217 0.000 1.857 1.072 10.109" Properties=species:S:1:pos:R:3 pbc="T T T"
In 1.857 1.072 2.673
Tl 3.715 2.145 5.054
In 5.572 3.217 7.436
Sr 0.000 0.000 0.000
```

=====

A PBEsol-optimized structure of SrTlIn2. Source: Alexandria, functional SCAN.

Formation enthalpy at 0 K (eV/atom): -0.332

```
4
Lattice="-4.108 0.060 2.395 1.188 -4.078 2.140 3.626 4.556 1.384" Properties=species:S:1:pos:R:3 pbc="T T T"
Sr 0.000 0.000 0.000
In 1.677 -0.765 2.896
Tl -1.460 -2.009 2.268
In -0.971 1.303 3.023
```

=====

A PBEsol-optimized structure of SrTlIn2. Source: Alexandria, functional SCAN.

Formation enthalpy at 0 K (eV/atom): -0.368

```
4
Lattice="4.748 0.000 0.000 0.000 4.748 0.000 0.000 0.000 4.871" Properties=species:S:1:pos:R:3 pbc="T T T"
Tl 0.000 0.000 2.435
In 2.374 0.000 0.000
In 0.000 2.374 0.000
Sr 2.374 2.374 2.435
```

=====

A PBEsol-optimized structure of SrTlIn4. Source: Alexandria, functional SCAN.

Formation enthalpy at 0 K (eV/atom): -0.246

```
6
Lattice="-0.938 6.095 -0.251 -5.742 2.251 0.240 -1.917 3.036 5.020" Properties=species:S:1:pos:R:3 pbc="T T T"
Sr -6.448 8.536 3.757
In -6.102 5.392 1.996
In -4.182 5.787 4.396
In -3.691 7.322 1.750
In -3.220 4.262 1.876
Tl 0.000 0.000 0.000
```

=====

A PBEsol-optimized structure of SrTlIn2. Source: Alexandria, functional SCAN.

Formation enthalpy at 0 K (eV/atom): -0.338

```
4
Lattice="-1.506 -1.164 5.048 -0.067 -5.126 1.680 3.656 -1.713 3.578" Properties=species:S:1:pos:R:3 pbc="T T T"
Tl 0.521 -2.001 2.577
In 1.563 -6.003 7.730
In 0.000 0.000 0.000
Sr 1.042 -4.002 5.153
```

=====

A PBEsol-optimized structure of Sr2InW. Source: Alexandria, functional SCAN.

Formation enthalpy at 0 K (eV/atom): 0.955

```
4
Lattice="-1.173 -2.990 0.727 1.532 -1.871 2.236 -6.150 2.780 8.965" Properties=species:S:1:pos:R:3 pbc="T T T"
In 0.000 0.000 0.000
Sr -1.550 -0.449 3.112
W -2.895 -1.041 5.964
Sr -4.241 -1.633 8.816
```

=====

A PBEsol-optimized structure of SrInW2. Source: Alexandria, functional SCAN.

Formation enthalpy at 0 K (eV/atom): 1.220

```
4
Lattice="-2.451 -0.248 -1.273 -1.376 -4.331 3.492 -1.361 5.338 1.582" Properties=species:S:1:pos:R:3 pbc="T T T"
W -0.688 -2.165 1.746
Sr -2.594 0.379 1.900
W -0.681 2.669 0.791
In -1.225 -0.124 -0.636
```

=====

A PBEsol-optimized structure of SrInW2. Source: Alexandria, functional SCAN.

Formation enthalpy at 0 K (eV/atom): 1.111

```
4
Lattice="-0.972 -0.184 -2.615 2.474 -4.686 -0.590 -5.176 -0.131 3.429" Properties=species:S:1:pos:R:3 pbc="T T T"
Sr 1.237 -2.343 -0.295
W -2.031 -1.178 0.838
W -1.643 -3.824 -0.614
In -0.486 -0.092 -1.307
```

=====

A PBEsol-optimized structure of SrInW2. Source: Alexandria, functional SCAN.

Formation enthalpy at 0 K (eV/atom): 1.046

```
4
Lattice="4.820 0.000 0.000 2.410 4.174 0.000 2.410 1.391 3.935" Properties=species:S:1:pos:R:3 pbc="T T T"
W 0.000 0.000 0.000
W 7.230 4.174 2.952
Sr 2.410 1.391 0.984
In 4.820 2.783 1.968
```

=====

A PBEsol-optimized structure of SrInW2. Source: Alexandria, functional SCAN.

Formation enthalpy at 0 K (eV/atom): 1.264

```
4
Lattice="-1.381 -1.179 -3.677 1.038 -3.875 0.853 -4.239 1.764 3.313" Properties=species:S:1:pos:R:3 pbc="T T T"
W -2.895 -0.971 -0.888
In -0.171 -2.527 -1.412
Sr 0.000 0.000 0.000
W -1.686 -2.319 1.377
```

=====

A PBEsol-optimized structure of SrInW. Source: Alexandria, functional SCAN.

Formation enthalpy at 0 K (eV/atom): 1.847

```
3
Lattice="-3.534 -1.584 3.212 1.213 -3.176 3.709 0.038 1.599 4.770" Properties=species:S:1:pos:R:3 pbc="T T T"
Sr -0.571 -0.790 2.923
In -1.141 -1.580 5.845
W 0.000 0.000 0.000
```

=====

A PBEsol-optimized structure of SrYIn2. Source: Alexandria, functional SCAN.

Formation enthalpy at 0 K (eV/atom): -0.574

```
4
Lattice="-1.987 -3.138 0.475 2.988 -2.478 -3.870 3.558 -1.674 3.819" Properties=species:S:1:pos:R:3 pbc="T T T"
Y 0.785 -2.406 2.147
In 0.000 0.000 0.000
Sr 0.501 -2.808 -1.698
In 3.273 -2.076 -0.026
```

=====

A PBEsol-optimized structure of SrYIn2. Source: Alexandria, functional SCAN.

Formation enthalpy at 0 K (eV/atom): -0.547

```
4
Lattice="3.524 0.000 0.000 0.000 5.678 0.010 0.000 -1.204 5.549" Properties=species:S:1:pos:R:3 pbc="T T T"
Sr 1.762 0.000 0.000
Y 1.762 2.237 2.779
In 0.000 2.839 0.005
In 0.000 -0.602 2.774
```

=====

A PBEsol-optimized structure of Sr4YIn. Source: Alexandria, functional SCAN.

Formation enthalpy at 0 K (eV/atom): 0.375

```
6
Lattice="-0.117 1.135 6.910 4.096 -3.780 4.240 5.491 2.996 3.150" Properties=species:S:1:pos:R:3 pbc="T T T"
In 0.000 0.000 0.000
Sr 6.296 1.629 6.938
Y 7.102 0.263 10.725
Sr 3.552 0.131 5.363
Sr 3.493 0.699 8.817
Sr 5.599 -1.758 7.482
```

=====

A PBEsol-optimized structure of SrYIn. Source: Alexandria, functional SCAN.

Formation enthalpy at 0 K (eV/atom): 0.396

```
3
Lattice="-2.445 -3.652 -2.853 1.831 -1.283 -4.738 2.250 -4.670 -0.763" Properties=species:S:1:pos:R:3 pbc="T T T"
In 0.818 -4.802 -4.177
Y 0.000 0.000 0.000
Sr 0.409 -2.401 -2.088
```

=====

A PBEsol-optimized structure of Sr2ZnIn. Source: Alexandria, functional SCAN.

Formation enthalpy at 0 K (eV/atom): -0.391

```
4
Lattice="3.846 0.000 0.000 0.000 5.608 0.000 0.000 0.000 5.610" Properties=species:S:1:pos:R:3 pbc="T T T"
Sr 0.000 2.804 3.518
In 1.923 2.804 0.721
Zn 1.923 0.000 3.481
Sr 0.000 0.000 0.695
```

=====

A PBEsol-optimized structure of Sr2ZnIn. Source: Alexandria, functional SCAN.

Formation enthalpy at 0 K (eV/atom): -0.170

```
4
Lattice="-2.745 1.551 3.694 -3.303 -3.409 -1.023 5.354 -2.248 1.730" Properties=species:S:1:pos:R:3 pbc="T T T"
In -0.486 -3.293 1.021
Zn -3.024 -0.929 1.335
Sr -0.207 -0.813 3.379
Sr 0.000 0.000 0.000
```

=====

A PBEsol-optimized structure of Sr2ZnIn. Source: Alexandria, functional SCAN.

Formation enthalpy at 0 K (eV/atom): -0.330

```
4
Lattice="-1.403 -1.058 -3.357 0.744 -5.288 1.355 -4.904 3.008 3.240" Properties=species:S:1:pos:R:3 pbc="T T T"
Sr -3.693 -0.623 -0.399
Sr -5.377 -3.332 1.158
In -1.781 -2.712 1.598
Zn -0.603 -3.182 -0.884
```

=====

A PBEsol-optimized structure of Sr2ZnIn. Source: Alexandria, functional SCAN.

Formation enthalpy at 0 K (eV/atom): -0.391

```
4
Lattice="-1.637 -2.200 -4.829 1.269 -5.266 -1.224 -3.983 -3.870 -0.080" Properties=species:S:1:pos:R:3 pbc="T T T"
In -2.175 -5.668 -3.067
Sr -1.088 -2.834 -1.533
Zn 0.000 0.000 0.000
Sr -3.263 -8.503 -4.600
```

=====

A PBEsol-optimized structure of SrZnIn3. Source: Alexandria, functional SCAN.

Formation enthalpy at 0 K (eV/atom): -0.439

```
5
Lattice="4.582 0.000 0.000 0.000 4.582 0.000 -2.291 -2.291 5.973" Properties=species:S:1:pos:R:3 pbc="T T T"
In 0.000 2.291 3.086
In 2.291 0.000 3.086
Zn 0.000 0.000 4.610
Sr 2.291 2.291 5.914
In 2.291 2.291 1.224
```

=====

Number 1: size of the total moment 0.0 μB per formula unit, electronic total energy -134.366 eV for the cell shown. Number 2: size of the total moment 0.0 μB per formula unit, electronic total energy -119.042 eV for the cell shown. Number 3: size of the total moment 0.0 μB per formula unit, electronic total energy -133.632 eV for the cell shown. Number 4: size of the total moment 0.0 μB per formula unit, electronic total energy -134.370 eV for the cell shown. Number 5: size of the total moment 0.0 μB per formula unit, electronic total energy -95.074 eV for the cell shown. Number 6: size of the total moment 3.1 μB per formula unit, electronic total energy -112.915 eV for the cell shown. Number 7: size of the total moment 0.0 μB per formula unit, electronic total energy -235.173 eV for the cell shown. Number 8: size of the total moment 0.0 μB per formula unit, electronic total energy -129.564 eV for the cell shown. Number 9: size of the total moment 0.0 μB per formula unit, electronic total energy -450.146 eV for the cell shown. Number 10: size of the total moment 0.0 μB per formula unit, electronic total energy -162.728 eV for the cell shown. Number 11: size of the total moment 0.0 μB per formula unit, electronic total energy -161.690 eV for the cell shown. Number 12: size of the total moment 0.0 μB per formula unit, electronic total energy -162.734 eV for the cell shown. Number 13: size of the total moment 0.0 μB per formula unit, electronic total energy -162.879 eV for the cell shown. Number 14: size of the total moment 0.0 μB per formula unit, electronic total energy -229.654 eV for the cell shown. Number 15: size of the total moment 0.0 μB per formula unit, electronic total energy -162.757 eV for the cell shown. Number 16: size of the total moment 0.0 μB per formula unit, electronic total energy -143.805 eV for the cell shown. Number 17: size of the total moment 0.0 μB per formula unit, electronic total energy -190.158 eV for the cell shown. Number 18: size of the total moment 0.0 μB per formula unit, electronic total energy -190.595 eV for the cell shown. Number 19: size of the total moment 0.0 μB per formula unit, electronic total energy -190.852 eV for the cell shown. Number 20: size of the total moment 0.0 μB per formula unit, electronic total energy -189.983 eV for the cell shown. Number 21: size of the total moment 3.2 μB per formula unit, electronic total energy -119.807 eV for the cell shown. Number 22: size of the total moment 0.0 μB per formula unit, electronic total energy -119.188 eV for the cell shown. Number 23: size of the total moment 0.0 μB per formula unit, electronic total energy -119.080 eV for the cell shown. Number 24: size of the total moment 2.9 μB per formula unit, electronic total energy -148.080 eV for the cell shown. Number 25: size of the total moment 0.0 μB per formula unit, electronic total energy -82.315 eV for the cell shown. Number 26: size of the total moment 0.0 μB per formula unit, electronic total energy -93.018 eV for the cell shown. Number 27: size of the total moment 0.0 μB per formula unit, electronic total energy -92.134 eV for the cell shown. Number 28: size of the total moment 0.0 μB per formula unit, electronic total energy -92.773 eV for the cell shown. Number 29: size of the total moment 0.0 μB per formula unit, electronic total energy -93.017 eV for the cell shown. Number 30: size of the total moment 0.0 μB per formula unit, electronic total energy -138.146 eV for the cell shown.